Material: Pm2MoWO8
Method: DFT, PBE with a Hubbard U
State: optimized geometry Values from VASP.

Properties
Calculated total energy: -7.76 eV/atom
Total magnetic moment: 0.1667 μB/atom
Space group: P-1, No. 2

```
&SYSTEM
  ibrav = 0, nat = 12, ntyp = 4
/
ATOMIC_SPECIES
Pm 145.00 Pm.upf
O 16.00 O.upf
W 183.84 W.upf
Mo 95.94 Mo.upf
CELL_PARAMETERS angstrom
-4.8703 -0.8123 -1.2862
1.6536 -3.3517 -3.4725
-0.4239 -4.8721 4.5491
ATOMIC_POSITIONS crystal
Pm 0.4992 0.4982 0.7486
Pm 0.5008 0.5018 0.2514
O 0.2806 0.2805 0.4990
O 0.1702 0.8284 0.2324
O 0.8298 0.1716 0.7676
O 0.1760 0.8252 0.7735
O 0.7280 0.7281 0.9990
O 0.8240 0.1748 0.2265
O 0.7194 0.7195 0.5010
O 0.2720 0.2719 0.0010
W 0.0000 0.0000 0.0000
Mo 0.0000 0.0000 0.5000
```